Computed, not measured: LiGeBiOs after structural relaxation at the PBE-GGA level of DFT.

ΔE to the lowest computed polymorph   0 meV/atom

Geometry as POSCAR:
```
LiGeBiOs
1.0
0.000 3.260 3.260
3.260 0.000 3.260
3.260 3.260 0.000
Li Ge Bi Os
1 1 1 1
Direct
0.000 0.000 0.000
0.250 0.250 0.250
0.750 0.750 0.750
0.500 0.500 0.500
```